Record 1
A relaxed Na2CaCoAs crystal, computed with GGA-PBE.

Crystal system: tetragonal
Symmetry: P4/mmm (123)
Energy of formation, meV per atom: 505.1
D(E_F), states/eV per cell: 4.39
Density, g cm⁻³: 2.62
DFT total energy, eV/atom: -2.774

Cell: 5.1204 5.1204 5.3091 Å, 90.00 90.00 90.00°
With the nearest neighbours (Å) after each atom.
Sites, in units of the cell vectors:
1 Na 0.0000 0.5000 0.0000  2 Co 2.56
2 Na 0.5000 0.0000 0.0000  2 Co 2.56
3 Ca 0.0000 0.0000 0.5000  2 Co 2.65
4 Co 0.0000 0.0000 0.0000  4 Na 2.56, 2 Ca 2.65
5 As 0.5000 0.5000 0.5000  4 Ca 3.62, 8 Na 3.69



Record 2
A relaxed Rb2BiN crystal, computed with GGA-PBE.

Crystal system: cubic
Symmetry: Fm-3m (225)
D(E_F), states/eV per cell: 3.56
Relative energy among the computed polymorphs, meV/atom: 588
Density, g cm⁻³: 3.96
Uncorrected formation energy, eV/atom: 0.951
DFT total energy, eV/atom: -2.584

Cell: 6.1610 6.1610 6.1610 Å, 60.00 60.00 60.00°
With the nearest neighbours (Å) after each atom.
Sites, in units of the cell vectors:
1 Rb 0.2500 0.2500 0.2500  4 N 3.77, 4 Bi 3.77
2 Rb 0.7500 0.7500 0.7500  4 N 3.77, 4 Bi 3.77
3 Bi 0.0000 0.0000 0.0000  8 Rb 3.77
4 N 0.5000 0.5000 0.5000  8 Rb 3.77



Record 3
A relaxed NdDy4Se5 crystal, computed with GGA-PBE.

Crystal system: monoclinic
Symmetry: C2/m (12)
D(E_F), states/eV per cell: 4.69
Relative energy among the computed polymorphs, meV/atom: 0
Density, g cm⁻³: 8.07
Uncorrected formation energy, eV/atom: -1.768
DFT total energy, eV/atom: -5.828

Cell: 7.1300 7.1300 10.0584 Å, 118.29 118.29 33.43°
With the nearest neighbours (Å) after each atom.
Sites, in units of the cell vectors:
1 Nd 0.0000 0.0000 0.0000  6 Se 2.97-2.99
2 Dy 0.2049 0.2049 0.7996  6 Se 2.87-2.93
3 Dy 0.4023 0.4023 0.6053  6 Se 2.87-2.92
4 Dy 0.5977 0.5977 0.3947  6 Se 2.87-2.92
5 Dy 0.7951 0.7951 0.2004  6 Se 2.87-2.93
6 Se 0.0000 0.0000 0.5000  6 Dy 2.92-2.93
7 Se 0.2040 0.2040 0.3090  5 Dy 2.87-2.88, 1 Nd 2.97
8 Se 0.3941 0.3941 0.1046  4 Dy 2.87, 2 Nd 2.99
9 Se 0.6059 0.6059 0.8954  4 Dy 2.87, 2 Nd 2.99
10 Se 0.7960 0.7960 0.6910  5 Dy 2.87-2.88, 1 Nd 2.97



Record 4
A relaxed CaPtAu2 crystal, computed with GGA-PBE.

Crystal system: trigonal
Symmetry: R-3m (166)
Energy of formation, meV per atom: 37.7
D(E_F), states/eV per cell: 4.20
Relative energy among the computed polymorphs, meV/atom: 608
Density, g cm⁻³: 13.29
DFT total energy, eV/atom: -3.612

Cell: 9.3698 9.3698 9.3698 Å, 19.31 19.31 19.31°
With the nearest neighbours (Å) after each atom.
Sites, in units of the cell vectors:
1 Ca 0.0000 0.0000 0.0000  6 Au 2.99, 6 Ca 3.14
2 Pt 0.5000 0.5000 0.5000  6 Au 2.87, 6 Pt 3.14
3 Au 0.2472 0.2472 0.2472  3 Pt 2.87, 3 Ca 2.99, 6 Au 3.14
4 Au 0.7528 0.7528 0.7528  3 Pt 2.87, 3 Ca 2.99, 6 Au 3.14



- D(E_F) of number 4 (CaPtAu2)?
  4.20 states/eV per cell



- What is the formula in the second record?
  Rb2BiN



- Among the records above, which one has the lowest D(E_F)?
  Rb2BiN